No. 1
{"formula": "Cd11HgPb", "functional": "GGA-PBE", "state": "relaxed", "lattice_angstrom": [[5.736, 0.093, 2.390], [2.897, 7.152, 1.207], [0.142, 0.046, 7.738]], "species": ["Hg", "Cd", "Cd", "Cd", "Cd", "Cd", "Cd", "Cd", "Cd", "Cd", "Cd", "Cd", "Pb"], "frac_coords": [[0.500, 0.500, 0.000], [0.995, 0.650, 0.351], [0.000, 0.500, 0.000], [0.501, 0.215, 0.784], [0.284, 0.215, 0.216], [0.499, 0.785, 0.216], [0.347, 0.650, 0.649], [0.005, 0.350, 0.649], [0.000, 0.000, 0.500], [0.500, 0.000, 0.500], [0.716, 0.785, 0.784], [0.653, 0.350, 0.351], [0.000, 0.000, 0.000]], "space_group": "C2/m", "m_tot_mub_per_fu": 0.000, "final_energy_ev_per_atom": -1.03, "delta_e_f_ev_per_atom": 0.05}



No. 2
{"formula": "Mg7InPb12", "functional": "GGA-PBE", "state": "relaxed", "lattice_angstrom": [[8.852, -0.132, -0.198], [-2.588, 8.466, -0.198], [-2.588, -3.444, 7.737]], "species": ["Pb", "Pb", "Pb", "Pb", "Pb", "Pb", "Pb", "Pb", "Pb", "Pb", "Pb", "Pb", "In", "Mg", "Mg", "Mg", "Mg", "Mg", "Mg", "Mg"], "frac_coords": [[0.360, 0.803, 0.488], [0.512, 0.640, 0.197], [0.803, 0.488, 0.360], [0.139, 0.961, 0.679], [0.640, 0.197, 0.512], [0.861, 0.039, 0.321], [0.321, 0.861, 0.039], [0.197, 0.512, 0.640], [0.488, 0.360, 0.803], [0.679, 0.139, 0.961], [0.961, 0.679, 0.139], [0.039, 0.321, 0.861], [0.000, 0.000, 0.000], [0.104, 0.383, 0.243], [0.617, 0.757, 0.896], [0.500, 0.500, 0.500], [0.243, 0.104, 0.383], [0.757, 0.896, 0.617], [0.383, 0.243, 0.104], [0.896, 0.617, 0.757]], "space_group": "R-3", "m_tot_mub_per_fu": 0.000, "final_energy_ev_per_atom": -2.91, "delta_e_f_ev_per_atom": 0.01}



No. 3
{"formula": "KSn2SbS6", "functional": "GGA-PBE", "state": "relaxed", "lattice_angstrom": [[7.590, 0.245, 0.255], [2.701, 8.866, 1.111], [2.701, 0.781, 8.901]], "species": ["S", "S", "S", "S", "S", "S", "S", "S", "S", "S", "S", "S", "K", "K", "Sn", "Sn", "Sn", "Sn", "Sb", "Sb"], "frac_coords": [[0.841, 0.310, 0.369], [0.092, 0.631, 0.046], [0.375, 0.180, 0.997], [0.908, 0.369, 0.954], [0.125, 0.003, 0.820], [0.659, 0.631, 0.690], [0.408, 0.954, 0.369], [0.592, 0.046, 0.631], [0.341, 0.369, 0.310], [0.875, 0.997, 0.180], [0.159, 0.690, 0.631], [0.625, 0.820, 0.003], [0.750, 0.262, 0.738], [0.250, 0.738, 0.262], [0.881, 0.646, 0.844], [0.119, 0.354, 0.156], [0.619, 0.156, 0.354], [0.381, 0.844, 0.646], [0.250, 0.234, 0.766], [0.750, 0.766, 0.234]], "space_group": "C2/c", "m_tot_mub_per_fu": 0.000, "final_energy_ev_per_atom": -4.26}



No. 4
{"formula": "Y6ErCd", "functional": "GGA-PBE", "state": "relaxed", "lattice_angstrom": [[-9.008, -2.184, 0.335], [-3.434, -6.275, -4.734], [-3.498, -5.052, 1.466]], "species": ["Cd", "Y", "Y", "Y", "Y", "Y", "Y", "Er"], "frac_coords": [[0.000, 0.000, 0.000], [0.960, 0.550, 0.248], [0.550, 0.242, 0.168], [0.758, 0.960, 0.731], [0.040, 0.450, 0.752], [0.242, 0.040, 0.269], [0.450, 0.758, 0.832], [0.500, 0.500, 0.500]], "space_group": "R-3", "m_tot_mub_per_fu": 0.000, "final_energy_ev_per_atom": -5.49, "delta_e_f_ev_per_atom": 0.04}



Q: Which calculated density values were calculated for the entries above? A: 8.7 8.1 3.4 5.4, in g/cm³.